1.
VASP calculation (PBE) on a relaxed structure of CdTeAu.

Output
Energy above the most stable polymorph in this dataset: 0.161 eV per formula unit
N(E_F): 0.33 states/eV per atom
Formation energy from raw total energies: -34 kJ/mol of formula units
Total DFT energy (no corrections): -2.5630 eV per atom
Size of the total moment: 0.00 μB per cell
Calculated volume: 81 Å³/f.u.

a = 4.073 Å, b = 4.720 Å, c = 9.351 Å
α = 91.37°, β = 90.09°, γ = 115.56°
Space group P-1 (No. 2)
Unique sites:
Cd1 0.204 0.406 0.374 x2
Te1 0.066 0.134 0.814 x2
Au1 0.500 0.000 0.000 x1
Au2 0.500 0.000 0.500 x1

---

2.
VASP calculation (PBE) on a relaxed structure of CaCeEu2.

Output
Energy above the most stable polymorph in this dataset: 0.379 eV per formula unit
N(E_F): 6.03 states/eV per atom
Total DFT energy (no corrections): -6.8866 eV per atom
Size of the total moment: 54.01 μB per cell
Calculated volume: 157 Å³/f.u.

a = 8.566 Å, b = 8.566 Å, c = 8.566 Å
α = 90.00°, β = 90.00°, γ = 90.00°
Space group Fm-3m (No. 225)
Unique sites:
Ca1 0.000 0.000 0.000 x4
Ce1 0.000 0.000 0.500 x4
Eu1 0.250 0.250 0.250 x8

---

3.
VASP calculation (PBE) on a relaxed structure of CsSrTl4.

Output
N(E_F): 0.33 states/eV per atom
Total DFT energy (no corrections): -2.1557 eV per atom
Size of the total moment: 0.00 μB per cell
Calculated volume: 213 Å³/f.u.

a = 9.485 Å, b = 9.485 Å, c = 9.485 Å
α = 90.00°, β = 90.00°, γ = 90.00°
Space group F-43m (No. 216)
Unique sites:
Cs1 0.000 0.000 0.000 x4
Sr1 0.250 0.250 0.750 x4
Tl1 0.124 0.124 0.376 x16

---

4.
VASP calculation (PBE) on a relaxed structure of Sm3H2S3.

Output
N(E_F): 0.20 states/eV per atom
Total DFT energy (no corrections): -5.5488 eV per atom
Size of the total moment: 0.00 μB per cell
Calculated volume: 162 Å³/f.u.

a = 8.1508 Å, b = 8.1508 Å, c = 5.6210 Å
α = 90.00°, β = 90.00°, γ = 120.00°
Space group P6_3/mcm (No. 193)
Unique sites:
Sm1 0.0000 0.3643 0.2500 x6
H1 0.3333 0.6667 0.0000 x4
S1 0.0000 0.2995 0.7500 x6

---

5.
VASP calculation (PBE) on a relaxed structure of Tb2PmPrY6.

Output
N(E_F): 1.59 states/eV per atom
Total DFT energy (no corrections): -5.6379 eV per atom
Size of the total moment: 0.00 μB per cell
Calculated volume: 333 Å³/f.u.

a = 9.177 Å, b = 15.062 Å, c = 9.753 Å
α = 90.00°, β = 98.80°, γ = 90.00°
Space group C2/c (No. 15)
Unique sites:
Tb1 0.242 0.050 0.046 x8
Pm1 0.000 0.024 0.750 x4
Pr1 0.000 0.406 0.250 x4
Y1 0.067 0.185 0.443 x8
Y2 0.098 0.394 0.618 x8
Y3 0.202 0.225 0.819 x8

---

6.
VASP calculation (PBE) on a relaxed structure of Pm3Os.

Output
Energy above the most stable polymorph in this dataset: 1.412 eV per formula unit
N(E_F): 0.92 states/eV per atom
Total DFT energy (no corrections): -6.0982 eV per atom
Size of the total moment: 0.00 μB per cell
Calculated volume: 124 Å³/f.u.

a = 3.415 Å, b = 3.755 Å, c = 9.638 Å
α = 90.00°, β = 90.00°, γ = 90.00°
Space group Pmm2 (No. 25)
Unique sites:
Pm1 0.000 0.000 0.000 x1
Pm2 0.000 0.500 0.344 x1
Pm3 0.500 0.500 0.703 x1
Os1 0.500 0.000 0.496 x1

---

7.
VASP calculation (PBE) on a relaxed structure of Rb3ZrV.

Output
Energy above the most stable polymorph in this dataset: 0.000 eV per formula unit
N(E_F): 2.43 states/eV per atom
Total DFT energy (no corrections): -2.3974 eV per atom
Size of the total moment: 8.01 μB per cell
Calculated volume: 311 Å³/f.u.

a = 6.775 Å, b = 6.775 Å, c = 6.775 Å
α = 90.00°, β = 90.00°, γ = 90.00°
Space group Pm-3m (No. 221)
Unique sites:
Rb1 0.000 0.000 0.500 x3
Zr1 0.500 0.500 0.500 x1
V1 0.000 0.000 0.000 x1

---

8.
VASP calculation (PBE) on a relaxed structure of RbTlCu2Cl8.

Output
N(E_F): 1.04 states/eV per atom
Formation energy from raw total energies: -823 kJ/mol of formula units
Total DFT energy (no corrections): -2.9028 eV per atom
Size of the total moment: 6.33 μB per cell
Calculated volume: 347 Å³/f.u.

a = 6.4177 Å, b = 6.4177 Å, c = 29.1692 Å
α = 90.00°, β = 90.00°, γ = 120.00°
Space group R32 (No. 155, hexagonal axes)
Unique sites:
Rb1 0.0000 0.0000 0.0000 x3
Tl1 0.0000 0.0000 0.5000 x3
Cu1 0.0000 0.0000 0.2469 x6
Cl1 0.0000 0.0000 0.3221 x6
Cl2 0.0030 0.3266 0.5595 x18

---

9.
VASP calculation (PBE) on a relaxed structure of Li4PtF8.

Output
N(E_F): 1.08 states/eV per atom
Formation energy from raw total energies: -2413 kJ/mol of formula units
Total DFT energy (no corrections): -4.1288 eV per atom
Size of the total moment: 16.07 μB per cell
Calculated volume: 158 Å³/f.u.

a = 8.585 Å, b = 8.585 Å, c = 8.585 Å
α = 90.00°, β = 90.00°, γ = 90.00°
Space group F-43m (No. 216)
Unique sites:
Li1 0.117 0.117 0.117 x16
Pt1 0.000 0.000 0.500 x4
F1 0.110 0.110 0.890 x16
F2 0.138 0.138 0.362 x16

---

10.
VASP calculation (PBE) on a relaxed structure of Pr6Ag5Sb.

Output
N(E_F): 1.06 states/eV per atom
Formation energy from raw total energies: -430 kJ/mol of formula units
Total DFT energy (no corrections): -4.2927 eV per atom
Size of the total moment: 3.73 μB per cell
Calculated volume: 331 Å³/f.u.

a = 5.337 Å, b = 7.664 Å, c = 16.183 Å
α = 90.00°, β = 90.00°, γ = 90.00°
Space group Immm (No. 71)
Unique sites:
Pr1 0.000 0.249 0.000 x4
Pr2 0.000 0.250 0.333 x8
Ag1 0.000 0.000 0.168 x4
Ag2 0.000 0.500 0.174 x4
Ag3 0.000 0.500 0.500 x2
Sb1 0.000 0.000 0.500 x2

---

11.
VASP calculation (PBE) on a relaxed structure of Sr2MgPbO.

Output
Energy above the most stable polymorph in this dataset: 0.000 eV per formula unit
N(E_F): 0.17 states/eV per atom
Formation energy from raw total energies: -603 kJ/mol of formula units
Total DFT energy (no corrections): -3.9739 eV per atom
Size of the total moment: 0.00 μB per cell
Calculated volume: 125 Å³/f.u.

a = 5.249 Å, b = 5.249 Å, c = 4.542 Å
α = 90.00°, β = 90.00°, γ = 90.00°
Space group P4/mmm (No. 123)
Unique sites:
Sr1 0.000 0.500 0.000 x2
Mg1 0.000 0.000 0.500 x1
Pb1 0.500 0.500 0.500 x1
O1 0.000 0.000 0.000 x1

---

12.
VASP calculation (PBE) on a relaxed structure of HgRuIN2.

Output
Energy above the most stable polymorph in this dataset: 0.000 eV per formula unit
N(E_F): 0.54 states/eV per atom
Formation energy from raw total energies: 482 kJ/mol of formula units
Total DFT energy (no corrections): -4.5557 eV per atom
Size of the total moment: 0.35 μB per cell
Calculated volume: 92 Å³/f.u.

a = 3.972 Å, b = 3.972 Å, c = 5.838 Å
α = 90.00°, β = 90.00°, γ = 90.00°
Space group P4/mmm (No. 123)
Unique sites:
Hg1 0.000 0.000 0.000 x1
Ru1 0.500 0.500 0.500 x1
I1 0.500 0.500 0.000 x1
N1 0.000 0.500 0.500 x2

---

13.
VASP calculation (PBE) on a relaxed structure of ZrHgPb2.

Output
N(E_F): 0.71 states/eV per atom
Total DFT energy (no corrections): -3.8381 eV per atom
Size of the total moment: 0.00 μB per cell
Calculated volume: 116 Å³/f.u.

a = 4.7455 Å, b = 4.7455 Å, c = 17.8837 Å
α = 90.00°, β = 90.00°, γ = 120.00°
Space group R3m (No. 160, hexagonal axes)
Unique sites:
Zr1 0.0000 0.0000 0.0000 x3
Hg1 0.0000 0.0000 0.1729 x3
Pb1 0.0000 0.0000 0.4087 x3
Pb2 0.0000 0.0000 0.5964 x3

---

14.
VASP calculation (PBE) on a relaxed structure of PaTiSi2Mo.

Output
N(E_F): 0.98 states/eV per atom
Formation energy from raw total energies: -285 kJ/mol of formula units
Total DFT energy (no corrections): -8.4040 eV per atom
Size of the total moment: 0.00 μB per cell
Calculated volume: 88 Å³/f.u.

a = 3.948 Å, b = 3.948 Å, c = 11.331 Å
α = 90.00°, β = 90.00°, γ = 90.00°
Space group I-4m2 (No. 119)
Unique sites:
Pa1 0.000 0.000 0.000 x2
Ti1 0.000 0.500 0.750 x2
Si1 0.000 0.000 0.396 x4
Mo1 0.000 0.500 0.250 x2

---

15.
VASP calculation (PBE) on a relaxed structure of Nb2NiWSe.

Output
N(E_F): 0.72 states/eV per atom
Formation energy from raw total energies: 398 kJ/mol of formula units
Total DFT energy (no corrections): -7.6465 eV per atom
Size of the total moment: 0.01 μB per cell
Calculated volume: 93 Å³/f.u.

a = 4.767 Å, b = 4.767 Å, c = 4.098 Å
α = 90.00°, β = 90.00°, γ = 90.00°
Space group P4/mmm (No. 123)
Unique sites:
Nb1 0.000 0.500 0.000 x2
Ni1 0.000 0.000 0.500 x1
W1 0.500 0.500 0.500 x1
Se1 0.000 0.000 0.000 x1

---

16.
VASP calculation (PBE) on a relaxed structure of La2MnSb3Rh4.

Output
N(E_F): 0.70 states/eV per atom
Formation energy from raw total energies: -745 kJ/mol of formula units
Total DFT energy (no corrections): -6.8514 eV per atom
Size of the total moment: 4.21 μB per cell
Calculated volume: 212 Å³/f.u.

a = 4.399 Å, b = 4.399 Å, c = 10.967 Å
α = 90.00°, β = 90.00°, γ = 90.00°
Space group P-4m2 (No. 115)
Unique sites:
La1 0.000 0.500 0.243 x2
Mn1 0.500 0.500 0.000 x1
Sb1 0.000 0.000 0.000 x1
Sb2 0.000 0.500 0.634 x2
Rh1 0.000 0.000 0.500 x1
Rh2 0.000 0.500 0.870 x2
Rh3 0.500 0.500 0.500 x1

---

17.
VASP calculation (PBE) on a relaxed structure of InGa2Ag.

Output
N(E_F): 0.36 states/eV per atom
Total DFT energy (no corrections): -2.8647 eV per atom
Size of the total moment: 0.00 μB per cell
Calculated volume: 84 Å³/f.u.

a = 8.698 Å, b = 3.142 Å, c = 6.134 Å
α = 90.00°, β = 93.11°, γ = 90.00°
Space group C2/m (No. 12)
Unique sites:
In1 0.000 0.000 0.000 x2
Ga1 0.225 0.500 0.709 x4
Ag1 0.000 0.000 0.500 x2

---

18.
VASP calculation (PBE) on a relaxed structure of TaRu2W.

Output
Energy above the most stable polymorph in this dataset: 1.092 eV per formula unit
N(E_F): 1.37 states/eV per atom
Total DFT energy (no corrections): -10.6437 eV per atom
Size of the total moment: 0.00 μB per cell
Calculated volume: 63 Å³/f.u.

a = 2.7965 Å, b = 2.7965 Å, c = 27.8064 Å
α = 90.00°, β = 90.00°, γ = 120.00°
Space group R3m (No. 160, hexagonal axes)
Unique sites:
Ta1 0.0000 0.0000 0.0000 x3
Ru1 0.0000 0.0000 0.2499 x3
Ru2 0.0000 0.0000 0.5039 x3
W1 0.0000 0.0000 0.7580 x3

---

19.
VASP calculation (PBE) on a relaxed structure of LiTcPt.

Output
Energy above the most stable polymorph in this dataset: 0.000 eV per formula unit
N(E_F): 0.46 states/eV per atom
Total DFT energy (no corrections): -6.3466 eV per atom
Size of the total moment: 0.00 μB per cell
Calculated volume: 44 Å³/f.u.

a = 4.884 Å, b = 2.724 Å, c = 6.649 Å
α = 90.00°, β = 99.00°, γ = 90.00°
Space group Pm (No. 6)
Unique sites:
Li1 0.000 0.000 0.000 x1
Li2 0.235 0.500 0.339 x1
Tc1 0.546 0.000 0.674 x1
Tc2 0.726 0.000 0.375 x1
Pt1 0.070 0.500 0.676 x1
Pt2 0.512 0.500 0.037 x1

---

20.
VASP calculation (PBE) on a relaxed structure of KCu2TcBr8.

Output
N(E_F): 0.57 states/eV per atom
Formation energy from raw total energies: -662 kJ/mol of formula units
Total DFT energy (no corrections): -3.3253 eV per atom
Size of the total moment: 1.96 μB per cell
Calculated volume: 387 Å³/f.u.

a = 6.517 Å, b = 7.216 Å, c = 8.806 Å
α = 70.77°, β = 82.24°, γ = 84.70°
Space group P-1 (No. 2)
Unique sites:
K1 0.000 0.000 0.000 x1
Cu1 0.476 0.522 0.817 x2
Tc1 0.000 0.500 0.500 x1
Br1 0.104 0.490 0.774 x2
Br2 0.152 0.828 0.370 x2
Br3 0.344 0.322 0.444 x2
Br4 0.488 0.768 0.955 x2

---

21.
VASP calculation (PBE) on a relaxed structure of SrBi2Pd4.

Output
Energy above the most stable polymorph in this dataset: 0.000 eV per formula unit
N(E_F): 0.49 states/eV per atom
Total DFT energy (no corrections): -4.7610 eV per atom
Size of the total moment: 0.00 μB per cell
Calculated volume: 154 Å³/f.u.

a = 8.363 Å, b = 8.363 Å, c = 4.392 Å
α = 90.00°, β = 90.00°, γ = 90.00°
Space group P4_2/mnm (No. 136)
Unique sites:
Sr1 0.000 0.000 0.000 x2
Bi1 0.218 0.218 0.500 x4
Pd1 0.093 0.643 0.500 x8

---

22.
VASP calculation (PBE) on a relaxed structure of La4Tc3N10.

Output
N(E_F): 0.46 states/eV per atom
Formation energy from raw total energies: -1112 kJ/mol of formula units
Total DFT energy (no corrections): -8.5639 eV per atom
Size of the total moment: 0.00 μB per cell
Calculated volume: 223 Å³/f.u.

a = 3.960 Å, b = 3.960 Å, c = 28.471 Å
α = 90.00°, β = 90.00°, γ = 90.00°
Space group I4/mmm (No. 139)
Unique sites:
La1 0.000 0.000 0.068 x4
La2 0.000 0.000 0.202 x4
Tc1 0.000 0.000 0.361 x4
Tc2 0.000 0.000 0.500 x2
N1 0.000 0.000 0.288 x4
N2 0.000 0.000 0.430 x4
N3 0.000 0.500 0.000 x4
N4 0.000 0.500 0.140 x8

---

23.
VASP calculation (PBE) on a relaxed structure of NaPmPbBr6.

Output
N(E_F): 0.00 states/eV per atom
Formation energy from raw total energies: -1277 kJ/mol of formula units
Total DFT energy (no corrections): -3.6722 eV per atom
Size of the total moment: 0.00 μB per cell
Calculated volume: 319 Å³/f.u.

a = 7.4573 Å, b = 7.4573 Å, c = 13.2289 Å
α = 90.00°, β = 90.00°, γ = 120.00°
Space group P-31c (No. 163)
Unique sites:
Na1 0.3333 0.6667 0.2500 x2
Pm1 0.3333 0.6667 0.7500 x2
Pb1 0.0000 0.0000 0.0000 x2
Br1 0.0102 0.3503 0.6264 x12

---

24.
VASP calculation (PBE) on a relaxed structure of ZrMnTe2.

Output
Energy above the most stable polymorph in this dataset: 0.659 eV per formula unit
N(E_F): 0.67 states/eV per atom
Formation energy from raw total energies: -123 kJ/mol of formula units
Total DFT energy (no corrections): -6.3202 eV per atom
Size of the total moment: 4.44 μB per cell
Calculated volume: 93 Å³/f.u.

a = 3.663 Å, b = 3.657 Å, c = 7.002 Å
α = 90.00°, β = 99.31°, γ = 90.00°
Space group P2/m (No. 10)
Unique sites:
Zr1 0.000 0.000 0.000 x1
Mn1 0.000 0.000 0.500 x1
Te1 0.407 0.500 0.757 x2